# 1
SrZrTiSnO6 | PBE-GGA | relaxed

Results
magnetization	0.000	μB per cell
N(E_F)	0.00	states/eV/atom
uncorrected formation energy	-2.694	eV per atom
energy	-7.88	eV per atom

a b c (Å): 5.752 5.752 5.752
angles (deg): 60.00 60.00 60.00
Element x y z (fractional)
Sn: 0.250 0.250 0.250
Zr: 0.500 0.500 0.500
Ti: 0.000 0.000 0.000
O: 0.242 0.758 0.758
O: 0.242 0.758 0.242
Sr: 0.750 0.750 0.750
O: 0.758 0.758 0.242
O: 0.242 0.242 0.758
O: 0.758 0.242 0.242
O: 0.758 0.242 0.758

# 2
SrTlSnO2 | PBE-GGA | relaxed

Results
magnetization	0.000	μB per cell
N(E_F)	0.69	states/eV/atom
uncorrected formation energy	-0.589	eV per atom
energy	-4.18	eV per atom

a b c (Å): 4.449 5.556 4.449
angles (deg): 90.00 90.00 90.00
Element x y z (fractional)
Sn: 0.000 0.000 0.000
O: 0.000 0.000 0.500
Sr: 0.500 0.500 0.500
O: 0.500 0.000 0.000
Tl: 0.000 0.500 0.000

# 3
SrTl2SnO6 | PBE-GGA | relaxed

Results
magnetization	0.000	μB per cell
N(E_F)	0.07	states/eV/atom
uncorrected formation energy	-1.407	eV per atom
energy	-5.42	eV per atom

a b c (Å): 5.834 5.834 6.160
angles (deg): 61.73 61.73 60.00
Element x y z (fractional)
O: 0.386 0.693 0.772
O: 0.948 0.583 0.241
Sr: 0.803 0.803 0.590
Tl: 0.023 0.023 0.932
O: 0.228 0.948 0.241
O: 0.693 0.149 0.772
Sn: 0.318 0.318 0.045
O: 0.149 0.386 0.772
O: 0.583 0.228 0.241
Tl: 0.530 0.530 0.409

# 4
Sr2YTlSn2O7 | PBE-GGA | relaxed

Results
magnetization	0.000	μB per cell
N(E_F)	0.15	states/eV/atom
uncorrected formation energy	-1.940	eV per atom
energy	-6.16	eV per atom

a b c (Å): 4.169 4.169 13.043
angles (deg): 90.00 90.00 90.00
Element x y z (fractional)
O: 0.500 0.000 0.610
Sr: 0.000 0.000 0.177
O: 0.500 0.500 0.797
Sn: 0.500 0.500 0.640
Sn: 0.500 0.500 0.360
Y: 0.000 0.000 0.500
Tl: 0.500 0.500 0.000
O: 0.000 0.500 0.390
O: 0.500 0.000 0.390
O: 0.000 0.500 0.610
O: 0.500 0.500 0.203
O: 0.000 0.000 0.000
Sr: 0.000 0.000 0.823

# 5
Sr4TmSn3O12 | PBE-GGA | relaxed

Results
magnetization	0.001	μB per cell
N(E_F)	0.55	states/eV/atom
uncorrected formation energy	-2.342	eV per atom
energy	-6.48	eV per atom

a b c (Å): 7.223 7.223 7.223
angles (deg): 109.47 109.47 109.47
Element x y z (fractional)
O: 0.750 0.500 0.250
O: 0.259 0.259 0.000
O: 0.250 0.500 0.750
Sn: 0.500 0.500 0.000
Tm: 0.000 0.000 0.000
Sr: 0.000 0.000 0.500
O: 0.500 0.750 0.250
Sr: 0.500 0.000 0.000
Sn: 0.000 0.500 0.500
O: 0.000 0.259 0.259
O: 0.741 0.741 0.000
Sn: 0.500 0.000 0.500
O: 0.741 0.000 0.741
O: 0.750 0.250 0.500
O: 0.259 0.000 0.259
Sr: 0.500 0.500 0.500
Sr: 0.000 0.500 0.000
O: 0.250 0.750 0.500
O: 0.500 0.250 0.750
O: 0.000 0.741 0.741

# 6
Sr2TmSnO6 | PBE-GGA | relaxed

Results
magnetization	2.210	μB per cell
N(E_F)	0.88	states/eV/atom
uncorrected formation energy	-2.541	eV per atom
energy	-6.70	eV per atom

a b c (Å): 5.886 5.970 8.358
angles (deg): 90.00 90.10 90.00
Each line ends with the local moment (μB).
Element x y z (fractional)
O: 0.281 0.707 0.042  0.15
O: 0.204 0.221 0.045  0.16
O: 0.583 0.026 0.258  0.16
Tm: 0.500 0.000 0.000  -0.01
O: 0.296 0.721 0.455  0.16
Tm: 0.000 0.500 0.500  -0.01
Sr: 0.510 0.538 0.750  0.00
O: 0.417 0.974 0.742  0.16
O: 0.796 0.779 0.955  0.16
O: 0.219 0.207 0.458  0.15
O: 0.719 0.293 0.958  0.15
O: 0.704 0.279 0.545  0.16
Sn: 0.000 0.500 0.000  -0.01
Sn: 0.500 0.000 0.500  -0.01
Sr: 0.490 0.462 0.250  0.00
Sr: 0.990 0.038 0.750  0.00
O: 0.917 0.526 0.242  0.16
O: 0.083 0.474 0.758  0.16
Sr: 0.010 0.962 0.250  0.00
O: 0.781 0.793 0.542  0.15

# 7
SrUSnO6 | PBE-GGA | relaxed

Results
magnetization	0.000	μB per cell
N(E_F)	0.00	states/eV/atom
uncorrected formation energy	-2.594	eV per atom
energy	-7.79	eV per atom

a b c (Å): 5.591 5.591 10.759
angles (deg): 90.00 90.00 120.00
Element x y z (fractional)
O: 0.367 0.367 0.855
O: 0.633 0.999 0.355
Sn: 0.667 0.333 0.750
O: 0.367 0.367 0.355
O: 0.999 0.633 0.855
O: 0.633 0.001 0.855
O: 0.001 0.633 0.355
U: 0.667 0.333 0.250
O: 0.367 0.999 0.145
Sn: 0.333 0.667 0.250
Sr: 0.000 0.000 0.500
O: 0.367 0.001 0.645
O: 0.633 0.633 0.145
U: 0.333 0.667 0.750
O: 0.633 0.633 0.645
Sr: 0.000 0.000 0.000
O: 0.001 0.367 0.145
O: 0.999 0.367 0.645